No. 1
First-principles (PBE) data for Pm2TmMg after structural relaxation, as listed in Alexandria via LeMat-Bulk.

Cell: 3.5338 3.5338 34.4272 Å, 90.00 90.00 120.00°
With the nearest neighbours (Å) after each atom.
Space group R3m (No. 160, hexagonal axes)
Symmetry-distinct sites (fractional):
Pm  0.0000  0.0000  0.0000 x3  3 Mg 3.50, 6 Pm 3.53, 3 Tm 3.54
Pm  0.0000  0.0000  0.1655 x3  3 Mg 3.50, 3 Tm 3.53, 6 Pm 3.53
Tm  0.0000  0.0000  0.5825 x3  6 Pm 3.53-3.54, 6 Tm 3.53
Mg  0.0000  0.0000  0.7494 x3  6 Pm 3.50, 6 Mg 3.53

Summary:
**Formation enthalpy at 0 K**: 42 meV/atom
**Spin magnetization**: 0.000 μB/f.u.
**Relative energy among the computed polymorphs**: 68 meV/atom

***

No. 2
First-principles (PBE) data for CaYRe2 after structural relaxation, as listed in Alexandria via LeMat-Bulk.

Cell: 2.8950 4.8423 6.0090 Å, 90.00 90.00 90.00°
With the nearest neighbours (Å) after each atom.
Space group Pmmm (No. 47)
Symmetry-distinct sites (fractional):
Ca  0.0000  0.0000  0.0000 x1  2 Ca 2.89, 2 Y 3.00, 8 Re 3.06
Y  0.0000  0.0000  0.5000 x1  2 Y 2.89, 2 Ca 3.00
Re  0.5000  0.5000  0.1990 x2  1 Re 2.39

Summary:
**Formation enthalpy at 0 K**: 685 meV/atom
**Spin magnetization**: 0.000 μB/f.u.
**Relative energy among the computed polymorphs**: 500 meV/atom

***

No. 3
First-principles (PBE) data for Mg2AlAu after structural relaxation, as listed in Alexandria via LeMat-Bulk.

Cell: 9.6927 5.4188 6.2198 Å, 90.00 108.65 90.00°
With the nearest neighbours (Å) after each atom.
Space group C2/c (No. 15)
Symmetry-distinct sites (fractional):
Mg  0.2201  0.0074  0.1098 x8  3 Au 2.84-2.92, 3 Al 2.86-2.98, 5 Mg 3.10-3.17
Al  0.0000  0.2768  0.2500 x4  2 Au 2.63-2.79, 4 Mg 2.86-2.94
Au  0.0000  0.2378  0.7500 x4  2 Al 2.63-2.79, 6 Mg 2.84-2.92

Summary:
**Formation enthalpy at 0 K**: -279 meV/atom
**Spin magnetization**: 0.000 μB/f.u.

***

No. 4
First-principles (PBE) data for Li2CaLa2 after structural relaxation, as listed in Alexandria via LeMat-Bulk.

Cell: 9.2829 9.2829 3.5483 Å, 90.00 90.00 90.00°
With the nearest neighbours (Å) after each atom.
Space group P4/mbm (No. 127)
Symmetry-distinct sites (fractional):
Li  0.1770  0.3230  0.0000 x4  6 La 3.24-3.30, 2 Li 3.55
Ca  0.0000  0.0000  0.5000 x2  2 Ca 3.55, 4 La 3.72, 8 Li 3.85
La  0.1163  0.6163  0.5000 x4  1 La 3.05, 6 Li 3.24-3.30

Summary:
**Formation enthalpy at 0 K**: 166 meV/atom
**Spin magnetization**: 0.000 μB/f.u.
**Relative energy among the computed polymorphs**: 5 meV/atom